(1)
DFT (PBE) results for a relaxed Ce3HgPb crystal.

Unit cell a=5.346 b=5.764 c=10.680 alpha=77.38 beta=88.09 gamma=66.64
Fractional positions:
Ce 0.052 0.443 0.385
Ce 0.352 0.743 0.324
Ce 0.391 0.743 0.921
Ce 0.609 0.257 0.079
Ce 0.648 0.257 0.676
Ce 0.948 0.557 0.615
Hg 0.085 0.335 0.905
Hg 0.915 0.665 0.095
Pb 0.297 0.912 0.617
Pb 0.703 0.088 0.383

Computed properties:
E_form ... -0.212 eV/atom
Density of states at the Fermi level ... 2.68 states/eV per atom
Calculated density ... 9.3 g cm⁻³
Symmetry ... No. 2

(2)
DFT (PBE) results for a relaxed Ce6Hg2Pb crystal.

Unit cell a=9.149 b=9.149 c=3.131 alpha=90.00 beta=90.00 gamma=120.00
Fractional positions:
Ce 0.000 0.344 0.000
Ce 0.000 0.656 0.000
Ce 0.344 0.000 0.000
Ce 0.344 0.344 0.000
Ce 0.656 0.000 0.000
Ce 0.656 0.656 0.000
Hg 0.333 0.667 0.500
Hg 0.667 0.333 0.500
Pb 0.000 0.000 0.500

Computed properties:
E_form ... -0.146 eV/atom
Density of states at the Fermi level ... 2.84 states/eV per atom
Calculated density ... 10.6 g cm⁻³
Symmetry ... No. 191

(3)
DFT (PBE) results for a relaxed Ce4Hg3Pb2 crystal.

Unit cell a=9.049 b=9.049 c=9.468 alpha=90.00 beta=90.00 gamma=135.59
Fractional positions:
Ce 0.185 0.815 0.939
Ce 0.232 0.268 0.750
Ce 0.268 0.232 0.250
Ce 0.315 0.685 0.439
Ce 0.685 0.315 0.561
Ce 0.732 0.768 0.750
Ce 0.768 0.732 0.250
Ce 0.815 0.185 0.061
Hg 0.000 0.000 0.000
Hg 0.046 0.454 0.750
Hg 0.454 0.046 0.250
Hg 0.500 0.500 0.500
Hg 0.546 0.954 0.750
Hg 0.954 0.546 0.250
Pb 0.125 0.875 0.568
Pb 0.375 0.625 0.068
Pb 0.625 0.375 0.932
Pb 0.875 0.125 0.432

Computed properties:
Energy relative to the lowest polymorph listed for this composition ... 107 meV/atom
E_form ... -0.211 eV/atom
Density of states at the Fermi level ... 3.03 states/eV per atom
Calculated density ... 9.7 g cm⁻³
Symmetry ... No. 64